Record 1
# PBE-GGA CaZn2AsP, optimized geometry
# DFT formation energy = -0.563 eV/atom
data_CaZn2AsP
_chemical_formula_sum 'Ca4 Zn8 As4 P4'
_cell_length_a 5.800
_cell_length_b 5.800
_cell_length_c 13.481
_cell_angle_alpha 90.00
_cell_angle_beta 90.00
_cell_angle_gamma 90.00
_symmetry_space_group_name_H-M 'I 4 c m'
_symmetry_Int_Tables_number 108
_symmetry_space_group_name_Hall 'I 4 -2c'
loop_
_atom_site_label
_atom_site_fract_x
_atom_site_fract_y
_atom_site_fract_z
Ca1 0.000 0.000 0.000
Zn1 0.249 0.251 0.197
As1 0.000 0.500 0.065
P1 0.000 0.000 0.289

***

Record 2
# PBE-GGA CaPaAs2, optimized geometry
# DFT formation energy = -1.144 eV/atom
data_CaPaAs2
_chemical_formula_sum 'Ca3 Pa3 As6'
_cell_length_a 4.1720
_cell_length_b 4.1720
_cell_length_c 20.4978
_cell_angle_alpha 90.00
_cell_angle_beta 90.00
_cell_angle_gamma 120.00
_symmetry_space_group_name_H-M 'R -3 m'
_symmetry_Int_Tables_number 166
_symmetry_space_group_name_Hall '-R 3 2"'
loop_
_atom_site_label
_atom_site_fract_x
_atom_site_fract_y
_atom_site_fract_z
Ca1 0.0000 0.0000 0.0000
Pa1 0.0000 0.0000 0.5000
As1 0.0000 0.0000 0.2448

***

Record 3
# PBE-GGA CaPaAs2, optimized geometry
# DFT formation energy = -1.045 eV/atom
data_CaPaAs2
_chemical_formula_sum 'Ca3 Pa3 As6'
_cell_length_a 4.1436
_cell_length_b 4.1436
_cell_length_c 21.3222
_cell_angle_alpha 90.00
_cell_angle_beta 90.00
_cell_angle_gamma 120.00
_symmetry_space_group_name_H-M 'R 3 m'
_symmetry_Int_Tables_number 160
_symmetry_space_group_name_Hall 'R 3 -2"'
loop_
_atom_site_label
_atom_site_fract_x
_atom_site_fract_y
_atom_site_fract_z
Ca1 0.0000 0.0000 0.0000
Pa1 0.0000 0.0000 0.1731
As1 0.0000 0.0000 0.5821
As2 0.0000 0.0000 0.7612

***

Record 4
# PBE-GGA Ca5Pa3As8, optimized geometry
# DFT formation energy = -1.181 eV/atom
data_Ca5Pa3As8
_chemical_formula_sum 'Ca15 Pa9 As24'
_cell_length_a 8.4155
_cell_length_b 8.4155
_cell_length_c 20.4342
_cell_angle_alpha 90.00
_cell_angle_beta 90.00
_cell_angle_gamma 120.00
_symmetry_space_group_name_H-M 'R -3 m'
_symmetry_Int_Tables_number 166
_symmetry_space_group_name_Hall '-R 3 2"'
loop_
_atom_site_label
_atom_site_fract_x
_atom_site_fract_y
_atom_site_fract_z
Ca1 0.0000 0.0000 0.0000
Ca2 0.0000 0.0000 0.5000
Ca3 0.0000 0.5000 0.0000
Pa1 0.0000 0.5000 0.5000
As1 0.0000 0.0000 0.2442
As2 0.0123 0.5062 0.7561

***

Record 5
# PBE-GGA Ca5PaAs5, optimized geometry
# DFT formation energy = -1.142 eV/atom
data_Ca5PaAs5
_chemical_formula_sum 'Ca10 Pa2 As10'
_cell_length_a 13.681
_cell_length_b 5.862
_cell_length_c 8.419
_cell_angle_alpha 90.00
_cell_angle_beta 108.46
_cell_angle_gamma 90.00
_symmetry_space_group_name_H-M 'C 1 2/m 1'
_symmetry_Int_Tables_number 12
_symmetry_space_group_name_Hall '-C 2y'
loop_
_atom_site_label
_atom_site_fract_x
_atom_site_fract_y
_atom_site_fract_z
Ca1 0.000 0.000 0.000
Ca2 0.180 0.500 0.358
Ca3 0.188 0.500 0.826
Pa1 0.000 0.000 0.500
As1 0.000 0.500 0.500
As2 0.149 0.000 0.328
As3 0.158 0.000 0.823

***

Record 6
# PBE-GGA CaPaAs2, optimized geometry
# DFT formation energy = -1.138 eV/atom
data_CaPaAs2
_chemical_formula_sum 'Ca2 Pa2 As4'
_cell_length_a 4.162
_cell_length_b 5.858
_cell_length_c 8.417
_cell_angle_alpha 90.00
_cell_angle_beta 90.00
_cell_angle_gamma 90.00
_symmetry_space_group_name_H-M 'P m m n'
_symmetry_Int_Tables_number 59
loop_
_symmetry_equiv_pos_as_xyz
'x,y,z'
'-x,-y,-z'
'-x+1/2,-y+1/2,z'
'x+1/2,y+1/2,-z'
'x+1/2,-y,-z'
'-x+1/2,y,z'
'-x,y+1/2,-z'
'x,-y+1/2,z'
loop_
_atom_site_label
_atom_site_fract_x
_atom_site_fract_y
_atom_site_fract_z
Ca1 0.250 0.250 0.120
Pa1 0.250 0.250 0.627
As1 0.250 0.750 0.142
As2 0.250 0.750 0.617

***

Record 7
# PBE-GGA CaPa2As4, optimized geometry
# DFT formation energy = -1.035 eV/atom
data_CaPa2As4
_chemical_formula_sum 'Ca4 Pa8 As16'
_cell_length_a 8.673
_cell_length_b 8.673
_cell_length_c 8.602
_cell_angle_alpha 90.00
_cell_angle_beta 90.00
_cell_angle_gamma 90.00
_symmetry_space_group_name_H-M 'I -4 2 d'
_symmetry_Int_Tables_number 122
_symmetry_space_group_name_Hall 'I -4 2bw'
loop_
_atom_site_label
_atom_site_fract_x
_atom_site_fract_y
_atom_site_fract_z
Ca1 0.000 0.000 0.000
Pa1 0.136 0.250 0.625
As1 0.078 0.166 0.305

***

Record 8
# PBE-GGA CaPa4As5, optimized geometry
# DFT formation energy = -1.083 eV/atom
data_CaPa4As5
_chemical_formula_sum 'Ca2 Pa8 As10'
_cell_length_a 13.631
_cell_length_b 4.109
_cell_length_c 10.118
_cell_angle_alpha 90.00
_cell_angle_beta 119.66
_cell_angle_gamma 90.00
_symmetry_space_group_name_H-M 'C 1 2/m 1'
_symmetry_Int_Tables_number 12
_symmetry_space_group_name_Hall '-C 2y'
loop_
_atom_site_label
_atom_site_fract_x
_atom_site_fract_y
_atom_site_fract_z
Ca1 0.000 0.000 0.000
Pa1 0.098 0.500 0.400
Pa2 0.201 0.000 0.795
As1 0.000 0.000 0.500
As2 0.105 0.500 0.899
As3 0.198 0.000 0.302

***

Record 9
# PBE-GGA Ca2PaAs3, optimized geometry
# DFT formation energy = -1.212 eV/atom
data_Ca2PaAs3
_chemical_formula_sum 'Ca32 Pa16 As48'
_cell_length_a 8.387
_cell_length_b 11.905
_cell_length_c 25.310
_cell_angle_alpha 90.00
_cell_angle_beta 90.00
_cell_angle_gamma 90.00
_symmetry_space_group_name_H-M 'F d d d'
_symmetry_Int_Tables_number 70
loop_
_symmetry_equiv_pos_as_xyz
'x,y,z'
'-x,-y,-z'
'-x+1/4,-y+1/4,z'
'x+1/4,y+1/4,-z'
'x,-y+1/4,-z+1/4'
'-x,y+1/4,z+1/4'
'-x+1/4,y,-z+1/4'
'x+1/4,-y,z+1/4'
'x,y+1/2,z+1/2'
'-x,-y+1/2,-z+1/2'
'-x+1/4,-y+3/4,z+1/2'
'x+1/4,y+3/4,-z+1/2'
'x,-y+3/4,-z+3/4'
'-x,y+3/4,z+3/4'
'-x+1/4,y+1/2,-z+3/4'
'x+1/4,-y+1/2,z+3/4'
'x+1/2,y,z+1/2'
'-x+1/2,-y,-z+1/2'
'-x+3/4,-y+1/4,z+1/2'
'x+3/4,y+1/4,-z+1/2'
'x+1/2,-y+1/4,-z+3/4'
'-x+1/2,y+1/4,z+3/4'
'-x+3/4,y,-z+3/4'
'x+3/4,-y,z+3/4'
'x+1/2,y+1/2,z'
'-x+1/2,-y+1/2,-z'
'-x+3/4,-y+3/4,z'
'x+3/4,y+3/4,-z'
'x+1/2,-y+3/4,-z+1/4'
'-x+1/2,y+3/4,z+1/4'
'-x+3/4,y+1/2,-z+1/4'
'x+3/4,-y+1/2,z+1/4'
loop_
_atom_site_label
_atom_site_fract_x
_atom_site_fract_y
_atom_site_fract_z
Ca1 0.125 0.125 0.044
Ca2 0.125 0.125 0.373
Pa1 0.125 0.125 0.541
As1 0.106 0.375 0.875
As2 0.117 0.365 0.712

***

Record 10
# PBE-GGA CaPaAs, optimized geometry
# DFT formation energy = -0.236 eV/atom
data_CaPaAs
_chemical_formula_sum 'Ca4 Pa4 As4'
_cell_length_a 14.697
_cell_length_b 3.607
_cell_length_c 6.231
_cell_angle_alpha 90.00
_cell_angle_beta 90.00
_cell_angle_gamma 90.00
_symmetry_space_group_name_H-M 'A m m 2'
_symmetry_Int_Tables_number 38
_symmetry_space_group_name_Hall 'A 2 -2'
loop_
_atom_site_label
_atom_site_fract_x
_atom_site_fract_y
_atom_site_fract_z
Ca1 0.142 0.000 0.000
Pa1 0.363 0.000 0.665
As1 0.000 0.000 0.666
As2 0.500 0.000 0.998

***

Record 11
# PBE-GGA Ca3Pm2PaAs6, optimized geometry
# DFT formation energy = -1.253 eV/atom
data_Ca3Pm2PaAs6
_chemical_formula_sum 'Ca6 Pm4 Pa2 As12'
_cell_length_a 7.356
_cell_length_b 12.760
_cell_length_c 7.270
_cell_angle_alpha 90.00
_cell_angle_beta 109.83
_cell_angle_gamma 90.00
_symmetry_space_group_name_H-M 'C 1 2/m 1'
_symmetry_Int_Tables_number 12
_symmetry_space_group_name_Hall '-C 2y'
loop_
_atom_site_label
_atom_site_fract_x
_atom_site_fract_y
_atom_site_fract_z
Ca1 0.000 0.000 0.000
Ca2 0.000 0.329 0.000
Pm1 0.000 0.166 0.500
Pa1 0.000 0.500 0.500
As1 0.240 0.339 0.737
As2 0.241 0.500 0.262

***

Record 12
# PBE-GGA Ca3PrPa2As6, optimized geometry
# DFT formation energy = -1.238 eV/atom
data_Ca3PrPa2As6
_chemical_formula_sum 'Ca6 Pr2 Pa4 As12'
_cell_length_a 7.316
_cell_length_b 12.672
_cell_length_c 7.258
_cell_angle_alpha 90.00
_cell_angle_beta 109.67
_cell_angle_gamma 90.00
_symmetry_space_group_name_H-M 'C 1 2/m 1'
_symmetry_Int_Tables_number 12
_symmetry_space_group_name_Hall '-C 2y'
loop_
_atom_site_label
_atom_site_fract_x
_atom_site_fract_y
_atom_site_fract_z
Ca1 0.000 0.000 0.000
Ca2 0.000 0.337 0.000
Pr1 0.000 0.500 0.500
Pa1 0.000 0.167 0.500
As1 0.231 0.000 0.736
As2 0.247 0.174 0.265

***

Record 13
# PBE-GGA Ca4PuPa3As8, optimized geometry
# DFT formation energy = -1.151 eV/atom
data_Ca4PuPa3As8
_chemical_formula_sum 'Ca12 Pu3 Pa9 As24'
_cell_length_a 8.3826
_cell_length_b 8.3826
_cell_length_c 20.4602
_cell_angle_alpha 90.00
_cell_angle_beta 90.00
_cell_angle_gamma 120.00
_symmetry_space_group_name_H-M 'R -3 m'
_symmetry_Int_Tables_number 166
_symmetry_space_group_name_Hall '-R 3 2"'
loop_
_atom_site_label
_atom_site_fract_x
_atom_site_fract_y
_atom_site_fract_z
Ca1 0.0000 0.0000 0.0000
Ca2 0.0000 0.5000 0.0000
Pu1 0.0000 0.0000 0.5000
Pa1 0.0000 0.5000 0.5000
As1 0.0000 0.0000 0.2444
As2 0.0065 0.5032 0.7559

***

Record 14
# PBE-GGA Ca2PuPaAs4, optimized geometry
# DFT formation energy = -1.136 eV/atom
data_Ca2PuPaAs4
_chemical_formula_sum 'Ca2 Pu1 Pa1 As4'
_cell_length_a 7.239
_cell_length_b 4.214
_cell_length_c 7.274
_cell_angle_alpha 90.00
_cell_angle_beta 109.73
_cell_angle_gamma 90.00
_symmetry_space_group_name_H-M 'P 1 2/m 1'
_symmetry_Int_Tables_number 10
_symmetry_space_group_name_Hall '-P 2y'
loop_
_atom_site_label
_atom_site_fract_x
_atom_site_fract_y
_atom_site_fract_z
Ca1 0.000 0.000 0.000
Ca2 0.000 0.500 0.500
Pu1 0.500 0.000 0.500
Pa1 0.500 0.500 0.000
As1 0.268 0.000 0.763
As2 0.269 0.500 0.250

***

Record 15
# PBE-GGA Ca3Pu2PaAs6, optimized geometry
# DFT formation energy = -1.112 eV/atom
data_Ca3Pu2PaAs6
_chemical_formula_sum 'Ca6 Pu4 Pa2 As12'
_cell_length_a 7.286
_cell_length_b 12.617
_cell_length_c 7.224
_cell_angle_alpha 90.00
_cell_angle_beta 109.63
_cell_angle_gamma 90.00
_symmetry_space_group_name_H-M 'C 1 2/m 1'
_symmetry_Int_Tables_number 12
_symmetry_space_group_name_Hall '-C 2y'
loop_
_atom_site_label
_atom_site_fract_x
_atom_site_fract_y
_atom_site_fract_z
Ca1 0.000 0.000 0.000
Ca2 0.000 0.332 0.000
Pu1 0.000 0.167 0.500
Pa1 0.000 0.500 0.500
As1 0.241 0.335 0.731
As2 0.248 0.000 0.730

***

Record 16
# PBE-GGA CaPuPa2As4, optimized geometry
# DFT formation energy = -1.096 eV/atom
data_CaPuPa2As4
_chemical_formula_sum 'Ca2 Pu2 Pa4 As8'
_cell_length_a 5.837
_cell_length_b 5.837
_cell_length_c 11.743
_cell_angle_alpha 90.00
_cell_angle_beta 90.00
_cell_angle_gamma 90.00
_symmetry_space_group_name_H-M 'I -4 m 2'
_symmetry_Int_Tables_number 119
_symmetry_space_group_name_Hall 'I -4 -2'
loop_
_atom_site_label
_atom_site_fract_x
_atom_site_fract_y
_atom_site_fract_z
Ca1 0.000 0.000 0.000
Pu1 0.000 0.500 0.750
Pa1 0.000 0.000 0.500
Pa2 0.000 0.500 0.250
As1 0.000 0.000 0.255
As2 0.000 0.500 0.003

***

Record 17
# PBE-GGA CaPaAs2Rh5, optimized geometry
# DFT formation energy = 0.100 eV/atom
data_CaPaAs2Rh5
_chemical_formula_sum 'Ca1 Pa1 As2 Rh5'
_cell_length_a 3.950
_cell_length_b 3.950
_cell_length_c 12.679
_cell_angle_alpha 90.00
_cell_angle_beta 90.00
_cell_angle_gamma 90.00
_symmetry_space_group_name_H-M 'P 4/m m m'
_symmetry_Int_Tables_number 123
_symmetry_space_group_name_Hall '-P 4 2'
loop_
_atom_site_label
_atom_site_fract_x
_atom_site_fract_y
_atom_site_fract_z
Ca1 0.000 0.000 0.000
Pa1 0.500 0.500 0.500
As1 0.500 0.500 0.278
Rh1 0.000 0.500 0.167
Rh2 0.500 0.500 0.000

***

Record 18
# PBE-GGA CaScPa2As4, optimized geometry
# DFT formation energy = -1.145 eV/atom
data_CaScPa2As4
_chemical_formula_sum 'Ca2 Sc2 Pa4 As8'
_cell_length_a 5.761
_cell_length_b 5.761
_cell_length_c 11.539
_cell_angle_alpha 90.00
_cell_angle_beta 90.00
_cell_angle_gamma 90.00
_symmetry_space_group_name_H-M 'I -4 m 2'
_symmetry_Int_Tables_number 119
_symmetry_space_group_name_Hall 'I -4 -2'
loop_
_atom_site_label
_atom_site_fract_x
_atom_site_fract_y
_atom_site_fract_z
Ca1 0.000 0.000 0.000
Sc1 0.000 0.500 0.750
Pa1 0.000 0.000 0.500
Pa2 0.000 0.500 0.250
As1 0.000 0.000 0.253
As2 0.000 0.500 0.503

***

Record 19
# PBE-GGA Ca3Sc2PaAs6, optimized geometry
# DFT formation energy = -1.200 eV/atom
data_Ca3Sc2PaAs6
_chemical_formula_sum 'Ca6 Sc4 Pa2 As12'
_cell_length_a 7.052
_cell_length_b 12.223
_cell_length_c 7.201
_cell_angle_alpha 90.00
_cell_angle_beta 109.08
_cell_angle_gamma 90.00
_symmetry_space_group_name_H-M 'C 1 2/m 1'
_symmetry_Int_Tables_number 12
_symmetry_space_group_name_Hall '-C 2y'
loop_
_atom_site_label
_atom_site_fract_x
_atom_site_fract_y
_atom_site_fract_z
Ca1 0.000 0.000 0.000
Ca2 0.000 0.334 0.000
Sc1 0.000 0.167 0.500
Pa1 0.000 0.500 0.500
As1 0.237 0.000 0.725
As2 0.244 0.331 0.726

***

Record 20
# PBE-GGA CaSc2PaAs4, optimized geometry
# DFT formation energy = -1.252 eV/atom
data_CaSc2PaAs4
_chemical_formula_sum 'Ca1 Sc2 Pa1 As4'
_cell_length_a 6.920
_cell_length_b 4.027
_cell_length_c 6.955
_cell_angle_alpha 90.00
_cell_angle_beta 109.21
_cell_angle_gamma 90.00
_symmetry_space_group_name_H-M 'P 1 2/m 1'
_symmetry_Int_Tables_number 10
_symmetry_space_group_name_Hall '-P 2y'
loop_
_atom_site_label
_atom_site_fract_x
_atom_site_fract_y
_atom_site_fract_z
Ca1 0.000 0.000 0.000
Sc1 0.500 0.000 0.500
Sc2 0.500 0.500 0.000
Pa1 0.000 0.500 0.500
As1 0.264 0.000 0.751
As2 0.265 0.500 0.264